No. 1
{"formula": "K2ErReN4", "functional": "PBE", "state": "relaxed", "formation_energy_uncorrected_mev_per_atom": -657, "space_group": "I-4, No. 82", "crystal_system": "tetragonal", "lattice": [[-0.3134, -2.4858, 5.3897], [-3.7284, -4.1171, -2.1156], [5.5070, 0.6653, -2.6503]], "species": ["K", "K", "Er", "Re", "N", "N", "N", "N"], "fractional_positions": [[0.4859, 0.9859, 0.9718], [0.2359, 0.2359, 0.4717], [0.9859, 0.4859, 0.9718], [0.7359, 0.7359, 0.4718], [0.7209, 0.6321, 0.7026], [0.8396, 0.4900, 0.2409], [0.4013, 0.7509, 0.2409], [0.9818, 0.0705, 0.7027]]}



No. 2
{"formula": "RbHoTiO4", "functional": "PBE", "state": "relaxed", "formation_energy_uncorrected_mev_per_atom": -2932, "space_group": "P2_1/m, No. 11", "crystal_system": "monoclinic", "lattice": [[5.9120, 0.0000, -0.0993], [0.0000, 6.0226, 0.0000], [-2.4440, 0.0000, 7.3821]], "species": ["Rb", "Rb", "Ho", "Ho", "Ti", "Ti", "O", "O", "O", "O", "O", "O", "O", "O"], "fractional_positions": [[0.6903, 0.7500, 0.9350], [0.3097, 0.2500, 0.0650], [0.8134, 0.7500, 0.4601], [0.1866, 0.2500, 0.5399], [0.2699, 0.7500, 0.3468], [0.7301, 0.2500, 0.6532], [0.9497, 0.4768, 0.6637], [0.0503, 0.9768, 0.3363], [0.0503, 0.5232, 0.3363], [0.9497, 0.0232, 0.6637], [0.4699, 0.7500, 0.2107], [0.5301, 0.2500, 0.7893], [0.4926, 0.7500, 0.5663], [0.5074, 0.2500, 0.4337]]}



No. 3
{"formula": "CdAgAu2N", "functional": "PBE", "state": "relaxed", "formation_energy_uncorrected_mev_per_atom": 627, "space_group": "P4/mmm, No. 123", "crystal_system": "tetragonal", "lattice": [[4.4905, 0.0000, 0.0000], [0.0000, 4.4558, 0.0000], [0.0000, 0.0000, 4.4905]], "species": ["N", "Au", "Au", "Ag", "Cd"], "fractional_positions": [[0.0000, 0.0000, 0.0000], [0.0000, 0.0000, 0.5000], [0.5000, 0.0000, 0.0000], [0.0000, 0.5000, 0.0000], [0.5000, 0.5000, 0.5000]]}



No. 4
{"formula": "ZrCoAs4", "functional": "PBE", "state": "relaxed", "formation_enthalpy_0k_mev_per_atom": 412, "space_group": "F-43m, No. 216", "crystal_system": "cubic", "lattice": [[-2.7829, -3.8072, -2.6482], [-4.3573, 1.3610, -2.9006], [0.1732, -0.2111, -5.4016]], "species": ["Zr", "Co", "As", "As", "As", "As"], "fractional_positions": [[0.0000, 0.0000, 0.0000], [0.7500, 0.7500, 0.7500], [0.8727, 0.3758, 0.3758], [0.3758, 0.3758, 0.8727], [0.3758, 0.8727, 0.3758], [0.3758, 0.3758, 0.3758]]}



No. 5
{"formula": "PuTlF6", "functional": "PBE", "state": "relaxed", "formation_energy_uncorrected_mev_per_atom": -2877, "space_group": "R-3m, No. 166", "crystal_system": "trigonal", "lattice": [[5.4023, -0.0131, -0.0148], [-0.6030, 5.3686, -0.0148], [-0.6030, -0.6729, 5.3263]], "species": ["Pu", "Tl", "F", "F", "F", "F", "F", "F"], "fractional_positions": [[0.5000, 0.5000, 0.5000], [0.0000, 0.0000, 0.0000], [0.2305, 0.5874, 0.2305], [0.2305, 0.2305, 0.5874], [0.7695, 0.4126, 0.7695], [0.4126, 0.7695, 0.7695], [0.7695, 0.7695, 0.4126], [0.5874, 0.2305, 0.2305]]}



No. 6
{"formula": "Mn2VH4", "functional": "PBE", "state": "relaxed", "space_group": "Fd-3m, No. 227", "crystal_system": "cubic", "lattice": [[5.2020, 0.1884, -0.0806], [-0.1871, 5.2021, 0.0803], [-2.4484, -2.7500, 3.6804]], "species": ["Mn", "Mn", "Mn", "Mn", "V", "V", "H", "H", "H", "H", "H", "H", "H", "H"], "fractional_positions": [[0.6250, 0.3750, 0.7500], [0.6250, 0.8750, 0.2500], [0.6250, 0.3750, 0.2500], [0.1250, 0.3750, 0.7500], [0.2500, 0.7500, 0.5000], [0.0000, 0.0000, 0.0000], [0.8579, 0.1421, 0.2841], [0.3921, 0.6079, 0.2158], [0.8579, 0.5738, 0.7159], [0.8579, 0.1420, 0.7159], [0.4262, 0.1421, 0.2841], [0.3921, 0.1763, 0.7842], [0.3921, 0.6079, 0.7842], [0.8237, 0.6079, 0.2158]]}



No. 7
{"formula": "LaZrGe2Br", "functional": "PBE", "state": "relaxed", "formation_energy_uncorrected_mev_per_atom": -387, "space_group": "P4/mmm, No. 123", "crystal_system": "tetragonal", "lattice": [[5.1591, 0.0000, 0.0000], [0.0000, 5.2684, 0.0000], [0.0000, 0.0000, 5.1591]], "species": ["Ge", "Ge", "Br", "Zr", "La"], "fractional_positions": [[0.0000, 0.0000, 0.5000], [0.5000, 0.0000, 0.0000], [0.0000, 0.5000, 0.0000], [0.0000, 0.0000, 0.0000], [0.5000, 0.5000, 0.5000]]}



No. 8
{"formula": "CeTmTh", "functional": "PBE", "state": "relaxed", "formation_enthalpy_0k_mev_per_atom": 55, "space_group": "I4mm, No. 107", "crystal_system": "tetragonal", "lattice": [[-1.6723, 2.9782, 0.8733], [-3.0895, -1.5031, -0.7903], [1.7662, -3.1116, 6.8776]], "species": ["Tm", "Ce", "Th"], "fractional_positions": [[0.9986, 0.9986, 0.9972], [0.6703, 0.6703, 0.3406], [0.3311, 0.3311, 0.6621]]}



No. 9
{"formula": "RbLaSc2Mo", "functional": "PBE", "state": "relaxed", "formation_enthalpy_0k_mev_per_atom": 512, "space_group": "P4/mmm, No. 123", "crystal_system": "tetragonal", "lattice": [[-1.3505, -1.5954, 4.9850], [1.0922, -5.2405, -1.3813], [5.1240, 0.6474, 1.5954]], "species": ["Sc", "Sc", "Mo", "Rb", "La"], "fractional_positions": [[0.0000, 0.0000, 0.5000], [0.5000, 0.0000, 0.0000], [0.0000, 0.0000, 0.0000], [0.5000, 0.5000, 0.5000], [0.0000, 0.5000, 0.0000]]}



No. 10
{"formula": "Al3AsIr", "functional": "PBE", "state": "relaxed", "formation_enthalpy_0k_mev_per_atom": 942, "space_group": "Pm-3m, No. 221", "crystal_system": "cubic", "lattice": [[-4.1806, -0.5379, 2.0053], [-0.7231, -3.8489, -2.5399], [1.9463, -2.5855, 3.3639]], "species": ["As", "Ir", "Al", "Al", "Al"], "fractional_positions": [[0.0000, 0.0000, 0.0000], [0.5000, 0.5000, 0.5000], [0.0000, 0.5000, 0.0000], [0.0000, 0.0000, 0.5000], [0.5000, 0.0000, 0.0000]]}



No. 11
{"formula": "SrRe2Cl", "functional": "PBE", "state": "relaxed", "formation_energy_uncorrected_mev_per_atom": 1063, "space_group": "F-43m, No. 216", "crystal_system": "cubic", "lattice": [[4.7526, 0.0000, 0.0000], [2.3763, 4.1159, 0.0000], [2.3763, 1.3720, 3.8805]], "species": ["Cl", "Re", "Re", "Sr"], "fractional_positions": [[0.5000, 0.5000, 0.5000], [0.0000, 0.0000, 0.0000], [0.2500, 0.2500, 0.2500], [0.7500, 0.7500, 0.7500]]}



No. 12
{"formula": "BaSr2Br2", "functional": "PBE", "state": "relaxed", "formation_energy_uncorrected_mev_per_atom": -788, "space_group": "P4/mbm, No. 127", "crystal_system": "tetragonal", "lattice": [[-10.4077, 3.5845, -1.7503], [1.4181, -1.2464, -10.9848], [-1.3100, -3.6821, 0.2487]], "species": ["Sr", "Sr", "Sr", "Sr", "Ba", "Ba", "Br", "Br", "Br", "Br"], "fractional_positions": [[0.3736, 0.8736, 0.0000], [0.8736, 0.6264, 0.0000], [0.6264, 0.1264, 0.0000], [0.1264, 0.3736, 0.0000], [0.0000, 0.0000, 0.0000], [0.5000, 0.5000, 0.0000], [0.1110, 0.6110, 0.5000], [0.6110, 0.8890, 0.5000], [0.8890, 0.3890, 0.5000], [0.3890, 0.1110, 0.5000]]}



No. 13
{"formula": "Tc2TeRh", "functional": "PBE", "state": "relaxed", "formation_energy_uncorrected_mev_per_atom": 269, "space_group": "Pm, No. 6", "crystal_system": "monoclinic", "lattice": [[-3.8686, 0.8867, -0.8922], [-0.8928, -1.4576, 2.4226], [-0.0713, 3.8394, 4.1253]], "species": ["Rh", "Tc", "Tc", "Te"], "fractional_positions": [[0.5000, 0.6963, 0.7309], [0.0000, 0.0514, 0.0148], [0.5000, 0.4553, 0.2212], [0.0000, 0.2970, 0.5331]]}



No. 14
{"formula": "ZnAgP3", "functional": "PBE", "state": "relaxed", "formation_enthalpy_0k_mev_per_atom": 1030, "space_group": "Pm-3m, No. 221", "crystal_system": "cubic", "lattice": [[-0.3671, 1.0394, -4.5203], [0.3409, -4.5161, -1.0661], [-4.6257, -0.4153, 0.2801]], "species": ["P", "P", "P", "Zn", "Ag"], "fractional_positions": [[0.0000, 0.5000, 0.0000], [0.0000, 0.0000, 0.5000], [0.5000, 0.0000, 0.0000], [0.0000, 0.0000, 0.0000], [0.5000, 0.5000, 0.5000]]}



No. 15
{"formula": "YScV2", "functional": "PBE", "state": "relaxed", "formation_enthalpy_0k_mev_per_atom": 421, "space_group": "Fm-3m, No. 225", "crystal_system": "cubic", "lattice": [[-3.9139, -3.0279, 0.1230], [-3.4102, 0.5062, 3.5519], [-4.5017, 1.7274, -1.1192]], "species": ["Y", "Sc", "V", "V"], "fractional_positions": [[0.5000, 0.5000, 0.5000], [0.0000, 0.0000, 0.0000], [0.2500, 0.2500, 0.2500], [0.7500, 0.7500, 0.7500]]}



No. 16
{"formula": "HoThRuPt", "functional": "PBE", "state": "relaxed", "formation_enthalpy_0k_mev_per_atom": -754, "space_group": "F-43m, No. 216", "crystal_system": "cubic", "lattice": [[4.9803, 0.0000, 0.0000], [2.4901, 4.3130, 0.0000], [2.4901, 1.4377, 4.0664]], "species": ["Ru", "Pt", "Th", "Ho"], "fractional_positions": [[0.2500, 0.2500, 0.2500], [0.7500, 0.7500, 0.7500], [0.5000, 0.5000, 0.5000], [0.0000, 0.0000, 0.0000]]}



No. 17
{"formula": "Fe2Pt2Pb", "functional": "PBE", "state": "relaxed", "formation_enthalpy_0k_mev_per_atom": 35, "space_group": "P4/mbm, No. 127", "crystal_system": "tetragonal", "lattice": [[7.6958, 0.0000, 0.0000], [0.0000, 7.6958, 0.0000], [0.0000, 0.0000, 2.8511]], "species": ["Pb", "Pb", "Fe", "Fe", "Fe", "Fe", "Pt", "Pt", "Pt", "Pt"], "fractional_positions": [[0.0000, 0.0000, 0.0000], [0.5000, 0.5000, 0.0000], [0.1592, 0.6592, 0.5000], [0.6592, 0.8408, 0.5000], [0.8408, 0.3408, 0.5000], [0.3408, 0.1592, 0.5000], [0.3671, 0.8671, 0.0000], [0.8671, 0.6329, 0.0000], [0.6329, 0.1329, 0.0000], [0.1329, 0.3671, 0.0000]]}



No. 18
{"formula": "VIrS2Cl", "functional": "PBE", "state": "relaxed", "formation_energy_uncorrected_mev_per_atom": 665, "space_group": "P4/mmm, No. 123", "crystal_system": "tetragonal", "lattice": [[4.5877, 0.0000, 0.0000], [0.0000, 4.5877, 0.0000], [0.0000, 0.0000, 4.3937]], "species": ["Cl", "S", "S", "Ir", "V"], "fractional_positions": [[0.0000, 0.0000, 0.5000], [0.0000, 0.5000, 0.0000], [0.5000, 0.0000, 0.0000], [0.5000, 0.5000, 0.5000], [0.0000, 0.0000, 0.0000]]}



No. 19
{"formula": "CeSm5S6", "functional": "PBE", "state": "relaxed", "formation_energy_uncorrected_mev_per_atom": -2033, "space_group": "C2/m, No. 12", "crystal_system": "monoclinic", "lattice": [[-5.9142, 3.4571, 1.1582], [-5.4142, -4.1539, -1.2910], [-2.6610, -3.9183, 5.0861]], "species": ["S", "S", "S", "S", "S", "S", "Sm", "Sm", "Sm", "Sm", "Sm", "Ce"], "fractional_positions": [[0.7501, 0.0835, 0.3327], [0.2499, 0.5838, 0.3327], [0.2511, 0.2496, 0.0000], [0.7489, 0.7504, 0.0000], [0.7501, 0.4162, 0.6673], [0.2499, 0.9165, 0.6673], [0.5000, 0.1688, 0.6623], [0.0000, 0.3326, 0.3348], [0.5000, 0.5000, 0.0000], [0.0000, 0.6674, 0.6652], [0.5000, 0.8312, 0.3377], [0.0000, 0.0000, 0.0000]]}



No. 20
{"formula": "CePrThZn", "functional": "PBE", "state": "relaxed", "formation_enthalpy_0k_mev_per_atom": 119, "space_group": "F-43m, No. 216", "crystal_system": "cubic", "lattice": [[-1.3518, -3.1357, 4.0932], [2.7224, -4.4870, 0.9326], [3.1880, -0.3470, 4.2579]], "species": ["Pr", "Zn", "Ce", "Th"], "fractional_positions": [[0.7500, 0.7500, 0.7500], [0.5000, 0.5000, 0.5000], [0.0000, 0.0000, 0.0000], [0.2500, 0.2500, 0.2500]]}



No. 21
{"formula": "MnSnIrS", "functional": "PBE", "state": "relaxed", "formation_energy_uncorrected_mev_per_atom": -77, "space_group": "Cm, No. 8", "crystal_system": "monoclinic", "lattice": [[2.9245, 0.0026, 0.0038], [1.4570, 3.8381, 0.0028], [1.4469, 0.6337, 6.0274]], "species": ["S", "Ir", "Sn", "Mn"], "fractional_positions": [[0.7753, 0.6026, 0.3702], [0.4933, 0.4571, 0.0787], [0.8812, 0.9486, 0.8122], [0.0643, 0.0203, 0.3747]]}



No. 22
{"formula": "Sm2AlTe", "functional": "PBE", "state": "relaxed", "formation_energy_uncorrected_mev_per_atom": -921, "space_group": "Cmcm, No. 63", "crystal_system": "orthorhombic", "lattice": [[-4.1987, -0.7487, 0.3792], [0.8874, -3.8857, 2.1545], [-0.5298, 7.7301, 9.3960]], "species": ["Sm", "Sm", "Sm", "Sm", "Al", "Al", "Te", "Te"], "fractional_positions": [[0.7500, 0.6711, 0.3421], [0.2500, 0.3289, 0.6579], [0.7500, 0.9368, 0.8737], [0.2500, 0.0632, 0.1263], [0.2500, 0.4637, 0.9274], [0.7500, 0.5363, 0.0726], [0.2500, 0.1940, 0.3879], [0.7500, 0.8060, 0.6121]]}



No. 23
{"formula": "FeAsP", "functional": "PBE", "state": "relaxed", "formation_enthalpy_0k_mev_per_atom": -65, "space_group": "P-1, No. 2", "crystal_system": "triclinic", "lattice": [[5.5140, 0.0722, 0.7180], [-0.0199, 6.3230, -0.5463], [0.7256, -0.8097, 5.3611]], "species": ["P", "P", "P", "P", "As", "As", "As", "As", "Fe", "Fe", "Fe", "Fe"], "fractional_positions": [[0.5962, 0.4887, 0.2741], [0.2382, 0.0135, 0.7376], [0.4038, 0.5113, 0.7259], [0.7618, 0.9865, 0.2624], [0.3158, 0.0228, 0.2649], [0.9516, 0.4800, 0.7403], [0.6842, 0.9772, 0.7351], [0.0484, 0.5200, 0.2596], [0.0914, 0.7969, 0.0074], [0.5933, 0.7019, 0.9972], [0.9086, 0.2031, 0.9926], [0.4067, 0.2981, 0.0028]]}



No. 24
{"formula": "SrDyCdGa", "functional": "PBE", "state": "relaxed", "formation_enthalpy_0k_mev_per_atom": -334, "space_group": "F-43m, No. 216", "crystal_system": "cubic", "lattice": [[5.3846, 0.0000, 0.0000], [2.6923, 4.6632, 0.0000], [2.6923, 1.5544, 4.3965]], "species": ["Sr", "Cd", "Ga", "Dy"], "fractional_positions": [[0.0000, 0.0000, 0.0000], [0.2500, 0.2500, 0.2500], [0.7500, 0.7500, 0.7500], [0.5000, 0.5000, 0.5000]]}



No. 25
{"formula": "HoCoNiB2", "functional": "PBE", "state": "relaxed", "formation_enthalpy_0k_mev_per_atom": -514, "space_group": "I-4m2, No. 119", "crystal_system": "tetragonal", "lattice": [[-2.5791, 2.2698, -0.7040], [-1.1007, -0.2203, 3.3225], [4.6655, 2.5498, -0.1362]], "species": ["Ho", "Co", "Ni", "B", "B"], "fractional_positions": [[0.0000, 0.0000, 0.0000], [0.7500, 0.2500, 0.5000], [0.2500, 0.7500, 0.5000], [0.6368, 0.6368, 0.2736], [0.3632, 0.3632, 0.7264]]}



No. 26
{"formula": "SmDy2Tl", "functional": "PBE", "state": "relaxed", "formation_enthalpy_0k_mev_per_atom": -184, "space_group": "P4/mmm, No. 123", "crystal_system": "tetragonal", "lattice": [[4.8508, 0.0000, 0.0000], [0.0000, 4.8971, 0.0000], [0.0000, 0.0000, 4.8971]], "species": ["Tl", "Sm", "Dy", "Dy"], "fractional_positions": [[0.5000, 0.0000, 0.0000], [0.5000, 0.5000, 0.5000], [0.0000, 0.0000, 0.5000], [0.0000, 0.5000, 0.0000]]}



E_tot (Ry per atom)
-0.5307 -0.5648 -0.2280 -0.3893 -0.4680 -0.4286 -0.3868 -0.4327 -0.3944 -0.2944 -0.4442 -0.1848 -0.5540 -0.2235 -0.5393 -0.5573 -0.4783 -0.3639 -0.4819 -0.3479 -0.4864 -0.3676 -0.4585 -0.2124 -0.4908 -0.3129